The following is a PBE-GGA calculation of a relaxed Y2TaIn crystal, from Alexandria.

Properties
- final energy (eV/atom) = -6.757
- energy of formation (eV per atom) = 0.1224

Lattice parameters (Å, degrees): 3.3607 3.3607 31.4048 90.00 90.00 120.00
Space group R-3m (No. 166, hexagonal axes)
Unique sites:
Y  0.0000  0.0000  0.2465
Ta  0.0000  0.0000  0.5000
In  0.0000  0.0000  0.0000